# CsLaNi | OQMD | PBE-GGA | relaxed
data_CsLaNi
_chemical_formula_sum 'Cs4 La4 Ni4'
_space_group_name_H-M_alt 'P 1'
_space_group_IT_number 1
_cell_length_a 7.2194
_cell_length_b 7.2194
_cell_length_c 7.2194
_cell_angle_alpha 90.00
_cell_angle_beta 90.00
_cell_angle_gamma 90.00
loop_
_space_group_symop_operation_xyz
'x,y,z'
loop_
_atom_site_label
_atom_site_type_symbol
_atom_site_fract_x
_atom_site_fract_y
_atom_site_fract_z
Cs1 Cs 0.0000 0.0000 0.0000
Cs2 Cs 0.0000 0.5000 0.5000
Cs3 Cs 0.5000 0.0000 0.5000
Cs4 Cs 0.5000 0.5000 0.0000
La1 La 0.2500 0.2500 0.2500
La2 La 0.2500 0.7500 0.7500
La3 La 0.7500 0.2500 0.7500
La4 La 0.7500 0.7500 0.2500
Ni1 Ni 0.0000 0.0000 0.5000
Ni2 Ni 0.0000 0.5000 0.0000
Ni3 Ni 0.5000 0.0000 0.0000
Ni4 Ni 0.5000 0.5000 0.5000
# Space-group type ... F-43m (216)
# DFT total energy ... -35.8 eV/cell